Mn3Pb, optimized geometry, DFT GGA-PBE; V = 68.2 Å³/f.u.; crystal system = cubic; symmetry = Pm-3n (223); magnetization = 10.48 μB/f.u.; ΔE_f = 0.51 eV/atom
1.0
-1.2269 -1.9146 -4.6182
0.0777 -4.7620 1.9536
-4.9988 0.3959 1.1638
Mn Pb
6 2
direct
0.5000 0.0000 0.2500
0.0000 0.7500 0.5000
0.5000 0.0000 0.7500
0.0000 0.2500 0.5000
0.2500 0.5000 0.0000
0.7500 0.5000 0.0000
0.0000 0.0000 0.0000
0.5000 0.5000 0.5000